No. 1
Below is a relaxed structure of CaSn4P6O24, with properties calculated at the PBE level.

Calculated values
- Formation energy from raw total energies: -2.12 eV/atom
- Crystal system: trigonal

Unit cell a=9.108 b=9.108 c=9.108 alpha=55.80 beta=55.80 gamma=55.80
Atoms (fractional coordinates):
Ca 0.000 0.000 0.000
Sn 0.148 0.148 0.148
Sn 0.352 0.352 0.352
Sn 0.648 0.648 0.648
Sn 0.852 0.852 0.852
P 0.036 0.457 0.752
P 0.248 0.964 0.543
P 0.457 0.752 0.036
P 0.543 0.248 0.964
P 0.752 0.036 0.457
P 0.964 0.543 0.248
O 0.012 0.604 0.806
O 0.107 0.889 0.748
O 0.111 0.252 0.893
O 0.155 0.530 0.219
O 0.180 0.481 0.548
O 0.194 0.988 0.396
O 0.219 0.155 0.530
O 0.252 0.893 0.111
O 0.396 0.194 0.988
O 0.452 0.820 0.519
O 0.470 0.781 0.845
O 0.481 0.548 0.180
O 0.519 0.452 0.820
O 0.530 0.219 0.155
O 0.548 0.180 0.481
O 0.604 0.806 0.012
O 0.748 0.107 0.889
O 0.781 0.845 0.470
O 0.806 0.012 0.604
O 0.820 0.519 0.452
O 0.845 0.470 0.781
O 0.889 0.748 0.107
O 0.893 0.111 0.252
O 0.988 0.396 0.194


No. 2
Below is a relaxed structure of DyTm2Se3, with properties calculated at the PBE level.

Calculated values
- Formation energy from raw total energies: -1.68 eV/atom
- Crystal system: monoclinic

Unit cell a=6.811 b=3.925 c=10.752 alpha=90.00 beta=102.24 gamma=90.00
Atoms (fractional coordinates):
Dy 0.025 0.250 0.330
Dy 0.975 0.750 0.670
Tm 0.248 0.250 0.997
Tm 0.473 0.250 0.670
Tm 0.527 0.750 0.330
Tm 0.752 0.750 0.003
Se 0.140 0.750 0.160
Se 0.255 0.750 0.500
Se 0.367 0.750 0.839
Se 0.633 0.250 0.161
Se 0.745 0.250 0.500
Se 0.860 0.250 0.840


No. 3
Below is a relaxed structure of PrNd2Dy, with properties calculated at the PBE level.

Calculated values
- Crystal system: tetragonal
- Energy of formation: 16 meV per atom

Unit cell a=6.321 b=6.321 c=6.321 alpha=131.61 beta=131.61 gamma=70.84
Atoms (fractional coordinates):
Pr 0.000 0.000 0.000
Nd 0.500 0.500 0.000
Nd 0.750 0.250 0.500
Dy 0.250 0.750 0.500


No. 4
Below is a relaxed structure of PrNdEu2, with properties calculated at the PBE level.

Calculated values
- Crystal system: tetragonal
- Energy of formation: 123 meV per atom

Unit cell a=6.076 b=6.076 c=4.115 alpha=90.00 beta=90.00 gamma=90.00
Atoms (fractional coordinates):
Pr 0.000 0.000 0.000
Nd 0.500 0.500 0.000
Eu 0.000 0.500 0.500
Eu 0.500 0.000 0.500


No. 5
Below is a relaxed structure of Ti2InB2, with properties calculated at the PBE level.

Calculated values
- Crystal system: tetragonal
- Energy of formation: -376 meV per atom

Unit cell a=6.052 b=6.052 c=3.418 alpha=90.00 beta=90.00 gamma=90.00
Atoms (fractional coordinates):
Ti 0.171 0.329 0.000
Ti 0.329 0.829 0.000
Ti 0.671 0.171 0.000
Ti 0.829 0.671 0.000
In 0.000 0.000 0.500
In 0.500 0.500 0.500
B 0.099 0.599 0.500
B 0.401 0.099 0.500
B 0.599 0.901 0.500
B 0.901 0.401 0.500


No. 6
Below is a relaxed structure of SmEu2Ho, with properties calculated at the PBE level.

Calculated values
- Crystal system: tetragonal
- Energy of formation: 113 meV per atom

Unit cell a=3.666 b=3.666 c=10.624 alpha=90.00 beta=90.00 gamma=90.00
Atoms (fractional coordinates):
Sm 0.000 0.000 0.000
Eu 0.500 0.500 0.254
Eu 0.500 0.500 0.746
Ho 0.000 0.000 0.500


no.,uncorrected energy (eV for the cell shown)
1,-243.6
2,-68.1
3,-18.9
4,-29.6
5,-67.5
6,-29.4